Entry 1:
Compound: FeCu5Sn2
Source: OQMD via LeMat-Bulk
Functional: PBE
Structure: relaxed

```
8
Lattice="-2.530 -3.357 -0.771 3.441 -2.418 -0.762 0.238 -1.570 6.059" Properties=species:S:1:pos:R:3 pbc="T T T"
Sn 0.000 0.000 0.000
Sn 0.574 -3.673 2.263
Fe 0.455 -2.888 -0.766
Cu 1.780 -1.605 1.148
Cu 0.119 -0.785 3.029
Cu -1.087 -2.853 4.145
Cu 1.898 -2.383 4.149
Cu -1.205 -2.075 1.143
```



Entry 2:
Compound: FeCu5Sn2
Source: OQMD via LeMat-Bulk
Functional: PBE
Structure: relaxed

```
8
Lattice="4.274 0.000 0.000 0.000 4.274 0.000 0.000 0.000 6.263" Properties=species:S:1:pos:R:3 pbc="T T T"
Cu 2.137 0.000 4.712
Cu 2.137 0.000 1.551
Cu 0.000 2.137 1.551
Cu 2.137 2.137 0.000
Cu 0.000 2.137 4.712
Sn 2.137 2.137 3.131
Sn 0.000 0.000 0.000
Fe 0.000 0.000 3.131
```



Entry 3:
Compound: FeCu2Sn
Source: OQMD via LeMat-Bulk
Functional: PBE
Structure: relaxed

```
4
Lattice="2.367 -3.104 -1.685 -1.296 -4.041 0.260 -1.331 -2.034 -3.488" Properties=species:S:1:pos:R:3 pbc="T T T"
Cu -0.195 -6.885 -3.685
Cu 0.000 0.000 0.000
Fe -0.065 -2.295 -1.228
Sn -0.130 -4.590 -2.457
```



Respective E values: -4.240 -4.240 -4.753 eV per atom.